MnIn2HPd after structural relaxation, computed with GGA-PBEsol.

- DOS at the Fermi energy (states/eV/cell) = 2.873
- mass density (Mg/m³) = 7.4
- total energy (eV per atom) = -4.718

Cell: 5.2336 5.2336 3.2065 Å, 90.00 90.00 90.00°
Closest atoms and distances in Å follow each position.
Sites, in units of the cell vectors:
Mn1 0.0000 0.0000 0.0000  8 In 3.07, 2 Mn 3.21
In1 0.0000 0.5000 0.5000  2 Pd 2.62
In2 0.5000 0.0000 0.5000  2 Pd 2.62
H1 0.5000 0.5000 0.0000  2 Pd 1.60
Pd1 0.5000 0.5000 0.5000  2 H 1.60